# 1
Material: CeSmPa
Method: DFT, GGA-PBE
State: optimized geometry

extended XYZ file:
```
3
Lattice="3.2855 0.0000 0.0000 0.0000 3.2855 0.0000 -1.6428 -1.6428 7.8397" Properties=species:S:1:pos:R:3 pbc="T T T"
Sm 1.6428 1.6428 7.7043
Ce 1.6428 1.6428 2.7988
Pa 0.0000 0.0000 5.1762
```

Results
Energy of formation (eV/atom): 0.144
Raw total energy (eV per atom): -6.573


# 2
Material: NaMnSnBr6
Method: DFT, GGA-PBE
State: optimized geometry

extended XYZ file:
```
9
Lattice="-0.2855 -5.5405 3.1111 6.6044 -1.4276 -1.9364 -1.2368 3.4361 6.0058" Properties=species:S:1:pos:R:3 pbc="T T T"
Br -0.9041 0.9567 5.0179
Br 0.5271 -1.1025 7.6920
Br 3.2940 0.9746 5.4351
Br -0.5478 -3.0577 4.1114
Br 1.5172 -0.8288 2.0603
Br 3.5189 -2.6746 5.1668
Na 3.8479 -2.5766 2.2666
Mn -0.1427 -2.7702 1.5555
Sn 1.3769 1.8149 3.3584
```

Results
E_form (uncorrected) (meV per atom): -846
Raw total energy (eV per atom): -3.572


# 3
Material: HoAlSi
Method: DFT, GGA-PBE
State: optimized geometry

extended XYZ file:
```
6
Lattice="4.0874 0.0000 0.0000 0.0000 5.8873 -0.0400 0.0000 -2.8226 5.6034" Properties=species:S:1:pos:R:3 pbc="T T T"
Ho 3.0656 -1.3508 4.6024
Ho 1.0219 4.4155 0.9610
Al 1.0219 2.5010 3.3905
Al 3.0656 0.5637 2.1729
Si 1.0219 1.5040 1.0181
Si 3.0656 1.5607 4.5453
```

Results
E_form (uncorrected) (meV per atom): -440
Raw total energy (eV per atom): -5.021


# 4
Material: LiCaBi2Cl
Method: DFT, GGA-PBE
State: optimized geometry

extended XYZ file:
```
5
Lattice="-2.9233 0.3311 -5.4084 -4.5655 -0.3412 2.4468 -0.1994 6.1346 0.4833" Properties=species:S:1:pos:R:3 pbc="T T T"
Cl -2.2828 -0.1706 1.2234
Bi -1.4617 0.1656 -2.7042
Bi -0.0997 3.0673 0.2417
Li -3.8441 3.0623 -1.2391
Ca 0.0000 0.0000 0.0000
```

Results
E_form (uncorrected) (meV per atom): -196
Raw total energy (eV per atom): -2.901